[1]
The following is a DFT calculation (PBE-GGA) of a relaxed Li8TlSi2 crystal.

Values from the calculation:
- E_form (uncorrected): -3.81 kcal/mol of atoms
- Spin magnetization: 0.00 Bohr magnetons per cell

a b c (Å): 4.352 7.153 7.296
angles (deg): 119.35 107.35 90.00
Fractional coordinates of all 11 atoms:
1 Li 0.842 0.842 0.683
2 Li 0.661 0.460 0.322
3 Li 0.339 0.540 0.678
4 Li 0.000 0.682 0.000
5 Li 0.000 0.318 0.000
6 Tl 0.500 0.000 0.000
7 Li 0.339 0.139 0.678
8 Si 0.203 0.703 0.406
9 Li 0.661 0.861 0.322
10 Li 0.158 0.158 0.317
11 Si 0.797 0.297 0.594

---

[2]
The following is a DFT calculation (PBE-GGA) of a relaxed PmNd2Cu6 crystal.

Values from the calculation:
- Energy of formation from the pure elements: -1.99 eV per formula unit
- Spin magnetization: 0.00 Bohr magnetons per cell

a b c (Å): 3.744 7.419 7.419
angles (deg): 120.00 90.00 90.00
Fractional coordinates of all 9 atoms:
1 Cu 0.500 0.667 0.000
2 Cu 0.500 0.000 0.667
3 Cu 0.500 0.667 0.667
4 Nd 0.000 0.333 0.667
5 Cu 0.500 0.333 0.000
6 Nd 0.000 0.667 0.333
7 Pm 0.000 0.000 0.000
8 Cu 0.500 0.000 0.333
9 Cu 0.500 0.333 0.333

---

[3]
The following is a DFT calculation (PBE-GGA) of a relaxed K2PtAu crystal.

Values from the calculation:
- Energy of formation from the pure elements: 0.80 eV per formula unit
- Distance to the lowest polymorph of the same formula: 354 meV/atom
- Spin magnetization: 0.00 Bohr magnetons per cell

a b c (Å): 5.434 5.434 5.434
angles (deg): 60.00 60.00 60.00
Fractional coordinates of all 4 atoms:
1 K 0.250 0.250 0.250
2 Au 0.500 0.500 0.500
3 K 0.750 0.750 0.750
4 Pt 0.000 0.000 0.000

---

[4]
The following is a DFT calculation (PBE-GGA) of a relaxed Pa2NbPdN5 crystal.

Values from the calculation:
- E_form (uncorrected): -21.80 kcal/mol of atoms
- Spin magnetization: 0.00 Bohr magnetons per cell

a b c (Å): 3.329 6.723 10.515
angles (deg): 90.00 90.00 104.33
Fractional coordinates of all 18 atoms:
1 N 0.940 0.880 0.590
2 Pd 0.470 0.940 0.452
3 N 0.488 0.975 0.762
4 Pa 0.099 0.198 0.672
5 Pa 0.144 0.287 0.300
6 N 0.693 0.386 0.874
7 N 0.364 0.728 0.001
8 N 0.060 0.120 0.090
9 Pd 0.530 0.060 0.952
10 N 0.512 0.025 0.262
11 N 0.726 0.451 0.160
12 Pa 0.856 0.713 0.800
13 Pa 0.901 0.802 0.172
14 Nb 0.202 0.404 0.013
15 Nb 0.798 0.596 0.513
16 N 0.307 0.614 0.374
17 N 0.274 0.549 0.660
18 N 0.636 0.272 0.501

---

[5]
The following is a DFT calculation (PBE-GGA) of a relaxed KTlSe2N crystal.

Values from the calculation:
- Distance to the lowest polymorph of the same formula: 0 meV/atom
- E_form (uncorrected): 12.86 kcal/mol of atoms
- Spin magnetization: 2.80 Bohr magnetons per cell

a b c (Å): 5.606 5.606 4.618
angles (deg): 90.00 90.00 90.00
Fractional coordinates of all 5 atoms:
1 K 0.500 0.500 0.500
2 Se 0.000 0.500 0.000
3 Tl 0.000 0.000 0.000
4 N 0.000 0.000 0.500
5 Se 0.500 0.000 0.000

---

[6]
The following is a DFT calculation (PBE-GGA) of a relaxed Cs2AgPd crystal.

Values from the calculation:
- Energy of formation from the pure elements: 1.35 eV per formula unit
- Distance to the lowest polymorph of the same formula: 303 meV/atom
- Spin magnetization: 0.77 Bohr magnetons per cell

a b c (Å): 6.135 6.135 6.135
angles (deg): 60.00 60.00 60.00
Fractional coordinates of all 4 atoms:
1 Pd 0.000 0.000 0.000
2 Ag 0.500 0.500 0.500
3 Cs 0.750 0.750 0.750
4 Cs 0.250 0.250 0.250

---

[7]
The following is a DFT calculation (PBE-GGA) of a relaxed NaNb3Cu crystal.

Values from the calculation:
- Energy of formation from the pure elements: 6.64 eV per formula unit
- Distance to the lowest polymorph of the same formula: 0 meV/atom
- Spin magnetization: 0.00 Bohr magnetons per cell

a b c (Å): 4.780 4.780 4.780
angles (deg): 90.00 90.00 90.00
Fractional coordinates of all 5 atoms:
1 Cu 0.000 0.000 0.000
2 Nb 0.500 0.000 0.000
3 Na 0.500 0.500 0.500
4 Nb 0.000 0.000 0.500
5 Nb 0.000 0.500 0.000

---

[8]
The following is a DFT calculation (PBE-GGA) of a relaxed TbTh2Ir2 crystal.

Values from the calculation:
- Energy of formation from the pure elements: -4.04 eV per formula unit
- Spin magnetization: 0.00 Bohr magnetons per cell

a b c (Å): 3.937 7.873 7.873
angles (deg): 90.00 90.00 90.00
Fractional coordinates of all 10 atoms:
1 Th 0.500 0.835 0.335
2 Ir 0.000 0.862 0.638
3 Ir 0.000 0.362 0.862
4 Th 0.500 0.335 0.165
5 Tb 0.000 0.000 0.000
6 Th 0.500 0.165 0.665
7 Ir 0.000 0.638 0.138
8 Th 0.500 0.665 0.835
9 Ir 0.000 0.138 0.362
10 Tb 0.000 0.500 0.500

---

[9]
The following is a DFT calculation (PBE-GGA) of a relaxed Mg2CdAg2 crystal.

Values from the calculation:
- Energy of formation from the pure elements: -0.82 eV per formula unit
- Distance to the lowest polymorph of the same formula: 0 meV/atom
- Spin magnetization: 0.00 Bohr magnetons per cell

a b c (Å): 7.612 7.612 3.440
angles (deg): 90.00 90.00 90.00
Fractional coordinates of all 10 atoms:
1 Cd 0.000 0.000 0.000
2 Ag 0.636 0.136 0.000
3 Ag 0.136 0.364 0.000
4 Mg 0.339 0.161 0.500
5 Mg 0.839 0.339 0.500
6 Ag 0.364 0.864 0.000
7 Mg 0.161 0.661 0.500
8 Ag 0.864 0.636 0.000
9 Cd 0.500 0.500 0.000
10 Mg 0.661 0.839 0.500

---

[10]
The following is a DFT calculation (PBE-GGA) of a relaxed LiPtW2 crystal.

Values from the calculation:
- Energy of formation from the pure elements: 0.11 eV per formula unit
- Distance to the lowest polymorph of the same formula: 0 meV/atom
- Spin magnetization: 0.00 Bohr magnetons per cell

a b c (Å): 4.190 2.692 5.375
angles (deg): 79.96 90.00 90.00
Fractional coordinates of all 4 atoms:
1 Li 0.000 0.568 0.498
2 Pt 0.500 0.640 0.731
3 W 0.000 0.025 0.002
4 W 0.500 0.266 0.269

---

[11]
The following is a DFT calculation (PBE-GGA) of a relaxed Cu4C5 crystal.

Values from the calculation:
- Energy of formation from the pure elements: 11.95 eV per formula unit
- Distance to the lowest polymorph of the same formula: 0 meV/atom
- Spin magnetization: 0.00 Bohr magnetons per cell

a b c (Å): 6.844 6.844 6.844
angles (deg): 91.88 91.88 159.11
Fractional coordinates of all 9 atoms:
1 Cu 0.797 0.000 0.797
2 C 0.273 0.273 0.547
3 C 0.000 0.000 0.000
4 Cu 0.203 0.000 0.203
5 Cu 0.000 0.203 0.203
6 C 0.273 0.727 0.000
7 Cu 0.000 0.797 0.797
8 C 0.727 0.727 0.453
9 C 0.727 0.273 0.000

---

[12]
The following is a DFT calculation (PBE-GGA) of a relaxed Pm2TcS crystal.

Values from the calculation:
- E_form (uncorrected): -2.78 kcal/mol of atoms
- Spin magnetization: 0.00 Bohr magnetons per cell

a b c (Å): 3.685 3.685 9.014
angles (deg): 78.21 78.21 60.00
Fractional coordinates of all 4 atoms:
1 Pm 0.903 0.903 0.292
2 Tc 0.000 0.000 0.000
3 S 0.500 0.500 0.500
4 Pm 0.097 0.097 0.708